No. 1
VASP calculation (GGA-PBE) on an optimized crystal structure of YMgAlTl2.

DOS at the Fermi energy, states/eV per cell: 4.01

abc: 5.8893 5.8893 5.6597
angles: 90.00 90.00 90.00
With the nearest neighbours (Å) after each atom.
Atoms (fractional coordinates):
1 Y 0.0000 0.0000 0.0000  2 Al 2.83, 4 Tl 2.94
2 Mg 0.5000 0.5000 0.5000  8 Tl 4.08, 4 Al 4.16
3 Al 0.0000 0.0000 0.5000  2 Y 2.83
4 Tl 0.0000 0.5000 0.0000  2 Y 2.94
5 Tl 0.5000 0.0000 0.0000  2 Y 2.94



No. 2
VASP calculation (GGA-PBE) on an optimized crystal structure of YMgAlTl.

DOS at the Fermi energy, states/eV per cell: 2.13

abc: 5.1295 5.1295 5.1295
angles: 60.00 60.00 60.00
With the nearest neighbours (Å) after each atom.
Atoms (fractional coordinates):
1 Y 0.0000 0.0000 0.0000  4 Tl 3.14, 4 Al 3.14
2 Mg 0.5000 0.5000 0.5000  4 Al 3.14, 4 Tl 3.14
3 Al 0.7500 0.7500 0.7500  4 Mg 3.14, 4 Y 3.14
4 Tl 0.2500 0.2500 0.2500  4 Mg 3.14, 4 Y 3.14



No. 3
VASP calculation (GGA-PBE) on an optimized crystal structure of Tm3Mg7Al2.

DOS at the Fermi energy, states/eV per cell: 8.79

abc: 10.0562 10.0562 10.0562
angles: 34.05 34.05 34.05
With the nearest neighbours (Å) after each atom.
Atoms (fractional coordinates):
1 Tm 0.0000 0.0000 0.0000  6 Al 3.40, 12 Mg 3.74
2 Tm 0.1455 0.1455 0.1455  12 Mg 3.45-3.47, 3 Tm 3.61
3 Tm 0.8545 0.8545 0.8545  12 Mg 3.45-3.47, 3 Tm 3.61
4 Mg 0.0764 0.5834 0.5834  2 Al 2.86-2.87, 5 Mg 2.90-2.98
5 Mg 0.4166 0.4166 0.9236  2 Al 2.86-2.87, 5 Mg 2.90-2.98
6 Mg 0.4166 0.9236 0.4166  2 Al 2.86-2.87, 5 Mg 2.90-2.98
7 Mg 0.5000 0.5000 0.5000  6 Mg 2.98
8 Mg 0.5834 0.0764 0.5834  2 Al 2.86-2.87, 5 Mg 2.90-2.98
9 Mg 0.5834 0.5834 0.0764  2 Al 2.86-2.87, 5 Mg 2.90-2.98
10 Mg 0.9236 0.4166 0.4166  2 Al 2.86-2.87, 5 Mg 2.90-2.98
11 Al 0.3342 0.3342 0.3342  6 Mg 2.86-2.87
12 Al 0.6658 0.6658 0.6658  6 Mg 2.86-2.87



No. 4
VASP calculation (GGA-PBE) on an optimized crystal structure of TmMgAl.

DOS at the Fermi energy, states/eV per cell: 2.61

abc: 4.8045 4.8045 3.4215
angles: 90.00 90.00 120.00
With the nearest neighbours (Å) after each atom.
Atoms (fractional coordinates):
1 Tm 0.0000 0.0000 0.0000  6 Mg 3.26, 6 Al 3.26, 2 Tm 3.42
2 Mg 0.3333 0.6667 0.5000  3 Al 2.77
3 Al 0.6667 0.3333 0.5000  3 Mg 2.77



No. 5
VASP calculation (GGA-PBE) on an optimized crystal structure of Tm4MgAl2.

Polymorph energy (0 for the lowest one), meV per atom: 0
DOS at the Fermi energy, states/eV per cell: 5.20

abc: 8.6166 8.6166 8.6166
angles: 34.21 34.21 34.21
With the nearest neighbours (Å) after each atom.
Atoms (fractional coordinates):
1 Tm 0.1145 0.1145 0.1145  4 Al 2.99-3.15, 3 Mg 3.19
2 Tm 0.3688 0.3688 0.3688  4 Al 3.03-3.21, 1 Mg 3.19, 3 Tm 3.40
3 Tm 0.6312 0.6312 0.6312  4 Al 3.03-3.21, 1 Mg 3.19, 3 Tm 3.40
4 Tm 0.8855 0.8855 0.8855  4 Al 2.99-3.15, 3 Mg 3.19
5 Mg 0.5000 0.5000 0.5000  8 Tm 3.19, 6 Al 3.48
6 Al 0.2440 0.2440 0.2440  8 Tm 2.99-3.21
7 Al 0.7560 0.7560 0.7560  8 Tm 2.99-3.21



No. 6
VASP calculation (GGA-PBE) on an optimized crystal structure of Tm2Mg2Al.

DOS at the Fermi energy, states/eV per cell: 2.62

abc: 11.4100 11.4100 3.3103
angles: 90.00 90.00 162.95
With the nearest neighbours (Å) after each atom.
Atoms (fractional coordinates):
1 Tm 0.0864 0.9136 0.0000  4 Al 3.07, 4 Tm 3.31-3.38, 4 Mg 3.35
2 Tm 0.9136 0.0864 0.0000  4 Al 3.07, 4 Tm 3.31-3.38, 4 Mg 3.35
3 Mg 0.3083 0.6917 0.5000  6 Mg 3.13-3.38, 4 Tm 3.35
4 Mg 0.6917 0.3083 0.5000  6 Mg 3.13-3.38, 4 Tm 3.35
5 Al 0.5000 0.5000 0.5000  8 Tm 3.07, 4 Al 3.31-3.38



Formation energy from the elements, respectively: 68.6, -15.4, -5.5, -22.6, -17.7, -12.2 kJ/mol of atoms.
Raw total energy, respectively: -2.60, -3.70, -2.73, -3.50, -4.04, -3.30 eV per atom.